Density functional theory data (PBE+U) for Ag3WF after structural relaxation.

extended XYZ file:
```
5
Lattice="4.621 0.000 0.000 0.000 4.621 0.000 0.000 0.000 4.621" Properties=species:S:1:pos:R:3 pbc="T T T"
Ag 0.000 0.000 2.311
Ag 0.000 2.311 0.000
Ag 2.311 0.000 0.000
W 2.311 2.311 2.311
F 0.000 0.000 0.000
```

## Properties
- M_tot: 4.76 μB per formula unit
- Electronic total energy: -3.025 eV/atom